one | {
  "formula": "MgSc2S4",
  "functional": "PBE",
  "state": "relaxed",
  "lattice_angstrom": [[-2.368, -2.659, -0.810], [-2.233, -1.603, 11.787], [-9.347, 8.510, -0.614]],
  "species": ["Mg", "Mg", "Mg", "Mg", "Sc", "Sc", "Sc", "Sc", "Sc", "Sc", "Sc", "Sc", "S", "S", "S", "S", "S", "S", "S", "S", "S", "S", "S", "S", "S", "S", "S", "S"],
  "frac_coords": [[0.750, 0.120, 0.435], [0.250, 0.880, 0.565], [0.250, 0.380, 0.935], [0.750, 0.620, 0.065], [0.250, 0.111, 0.076], [0.750, 0.889, 0.924], [0.750, 0.389, 0.576], [0.250, 0.611, 0.424], [0.250, 0.147, 0.702], [0.750, 0.853, 0.298], [0.750, 0.353, 0.202], [0.250, 0.647, 0.798], [0.750, 0.021, 0.617], [0.250, 0.979, 0.383], [0.250, 0.479, 0.117], [0.750, 0.521, 0.883], [0.250, 0.030, 0.881], [0.750, 0.970, 0.119], [0.750, 0.470, 0.381], [0.250, 0.530, 0.619], [0.250, 0.219, 0.253], [0.750, 0.781, 0.747], [0.750, 0.281, 0.753], [0.250, 0.719, 0.247], [0.750, 0.251, 0.019], [0.250, 0.749, 0.981], [0.250, 0.249, 0.519], [0.750, 0.751, 0.481]]
}

---

two | {
  "formula": "MgSc2S4",
  "functional": "PBE",
  "state": "relaxed",
  "lattice_angstrom": [[-0.208, 3.614, 0.280], [-5.664, -2.010, -1.799], [-3.460, -1.144, 12.169]],
  "species": ["Mg", "Mg", "Sc", "Sc", "Sc", "Sc", "S", "S", "S", "S", "S", "S", "S", "S"],
  "frac_coords": [[0.612, 0.224, 0.750], [0.388, 0.776, 0.250], [0.134, 0.267, 0.428], [0.866, 0.733, 0.928], [0.134, 0.267, 0.072], [0.866, 0.733, 0.572], [0.774, 0.549, 0.118], [0.774, 0.549, 0.382], [0.226, 0.451, 0.882], [0.226, 0.451, 0.618], [0.966, 0.932, 0.750], [0.034, 0.068, 0.250], [0.500, 0.000, 0.000], [0.500, 0.000, 0.500]]
}

---

three | {
  "formula": "MgSc2S4",
  "functional": "PBE",
  "state": "relaxed",
  "lattice_angstrom": [[6.839, 0.001, 0.000], [-0.006, 7.910, 0.007], [-1.146, -1.965, 12.905]],
  "species": ["Mg", "Mg", "Mg", "Mg", "Sc", "Sc", "Sc", "Sc", "Sc", "Sc", "Sc", "Sc", "S", "S", "S", "S", "S", "S", "S", "S", "S", "S", "S", "S", "S", "S", "S", "S"],
  "frac_coords": [[0.868, 0.803, 0.711], [0.132, 0.197, 0.289], [0.750, 0.625, 0.999], [0.250, 0.375, 0.001], [0.863, 0.300, 0.708], [0.137, 0.700, 0.292], [0.758, 0.124, 0.000], [0.242, 0.876, 0.000], [0.632, 0.444, 0.290], [0.368, 0.556, 0.710], [0.631, 0.953, 0.293], [0.369, 0.047, 0.707], [0.898, 0.347, 0.895], [0.102, 0.653, 0.105], [0.900, 0.852, 0.899], [0.100, 0.148, 0.101], [0.812, 0.217, 0.363], [0.188, 0.783, 0.637], [0.810, 0.715, 0.360], [0.190, 0.285, 0.640], [0.689, 0.033, 0.637], [0.311, 0.967, 0.363], [0.688, 0.536, 0.641], [0.312, 0.464, 0.359], [0.596, 0.905, 0.105], [0.404, 0.095, 0.895], [0.604, 0.397, 0.102], [0.396, 0.603, 0.898]]
}

---

Last place for stability: three

---

one | {
  "formula": "MgSc2S4",
  "functional": "PBE",
  "state": "relaxed",
  "lattice_angstrom": [[-4.388, 4.388, 3.768], [4.388, -4.388, 3.768], [4.388, 4.388, -3.768]],
  "species": ["Mg", "Mg", "Sc", "Sc", "Sc", "Sc", "S", "S", "S", "S", "S", "S", "S", "S"],
  "frac_coords": [[0.750, 0.250, 0.500], [0.000, 0.000, 0.000], [0.375, 0.397, 0.522], [0.603, 0.125, 0.978], [0.875, 0.853, 0.478], [0.147, 0.625, 0.022], [0.629, 0.842, 0.688], [0.158, 0.845, 0.787], [0.155, 0.942, 0.312], [0.058, 0.371, 0.213], [0.121, 0.308, 0.713], [0.592, 0.879, 0.188], [0.595, 0.408, 0.287], [0.692, 0.405, 0.812]]
}

---

two | {
  "formula": "MgSc2S4",
  "functional": "PBE",
  "state": "relaxed",
  "lattice_angstrom": [[-5.693, -3.968, 3.011], [0.563, -7.514, 0.665], [0.781, -3.144, 6.836]],
  "species": ["Mg", "Mg", "Sc", "Sc", "Sc", "Sc", "S", "S", "S", "S", "S", "S", "S", "S"],
  "frac_coords": [[0.000, 0.000, 0.000], [0.250, 0.250, 0.250], [0.625, 0.625, 0.625], [0.625, 0.625, 0.125], [0.625, 0.125, 0.625], [0.125, 0.625, 0.625], [0.851, 0.383, 0.383], [0.867, 0.867, 0.867], [0.399, 0.867, 0.867], [0.383, 0.383, 0.851], [0.383, 0.383, 0.383], [0.867, 0.399, 0.867], [0.867, 0.867, 0.399], [0.383, 0.851, 0.383]]
}

---

Last place for stability: one

---

one | {
  "formula": "MgScS3",
  "functional": "PBE",
  "state": "relaxed",
  "lattice_angstrom": [[5.720, 3.673, 0.047], [-5.720, 3.673, 0.047], [0.000, 3.699, 5.635]],
  "species": ["Mg", "Mg", "Sc", "Sc", "S", "S", "S", "S", "S", "S"],
  "frac_coords": [[0.339, 0.661, 0.000], [0.661, 0.339, 0.000], [0.973, 0.973, 0.246], [0.027, 0.027, 0.754], [0.922, 0.628, 0.157], [0.078, 0.372, 0.843], [0.372, 0.078, 0.843], [0.628, 0.922, 0.157], [0.715, 0.715, 0.696], [0.285, 0.285, 0.304]]
}

---

two | {
  "formula": "MgScS3",
  "functional": "PBE",
  "state": "relaxed",
  "lattice_angstrom": [[4.887, 0.000, 0.000], [0.000, 4.887, 0.000], [0.000, 0.000, 4.887]],
  "species": ["Sc", "S", "S", "S", "Mg"],
  "frac_coords": [[0.000, 0.000, 0.000], [0.000, 0.500, 0.000], [0.000, 0.000, 0.500], [0.500, 0.000, 0.000], [0.500, 0.500, 0.500]]
}

---

three | {
  "formula": "MgScS3",
  "functional": "PBE",
  "state": "relaxed",
  "lattice_angstrom": [[6.107, -3.227, -0.011], [6.107, 3.227, -0.011], [4.412, 0.000, 5.315]],
  "species": ["Mg", "Mg", "Sc", "Sc", "S", "S", "S", "S", "S", "S"],
  "frac_coords": [[0.151, 0.151, 0.151], [0.849, 0.849, 0.849], [0.342, 0.342, 0.342], [0.658, 0.658, 0.658], [0.933, 0.562, 0.255], [0.067, 0.438, 0.745], [0.562, 0.255, 0.933], [0.438, 0.745, 0.067], [0.255, 0.933, 0.562], [0.745, 0.067, 0.438]]
}

---

four | {
  "formula": "MgScS3",
  "functional": "PBE",
  "state": "relaxed",
  "lattice_angstrom": [[4.692, 0.000, 0.000], [0.000, 4.692, 0.000], [0.000, 0.000, 4.692]],
  "species": ["Sc", "S", "S", "S", "Mg"],
  "frac_coords": [[0.500, 0.500, 0.500], [0.000, 0.500, 0.000], [0.000, 0.000, 0.500], [0.500, 0.000, 0.000], [0.000, 0.000, 0.000]]
}

---

Last place for stability: four

---

one | {
  "formula": "Mg3ScS",
  "functional": "PBE",
  "state": "relaxed",
  "lattice_angstrom": [[-4.471, 0.545, -3.417], [3.189, -1.521, -4.414], [-1.345, -5.418, 0.896]],
  "species": ["Sc", "S", "Mg", "Mg", "Mg"],
  "frac_coords": [[0.000, 0.000, 0.000], [0.500, 0.500, 0.500], [0.000, 0.500, 0.000], [0.000, 0.000, 0.500], [0.500, 0.000, 0.000]]
}

---

two | {
  "formula": "Mg3ScS",
  "functional": "PBE",
  "state": "relaxed",
  "lattice_angstrom": [[4.926, 0.000, 0.000], [0.000, 4.926, 0.000], [0.000, 0.000, 4.926]],
  "species": ["Sc", "S", "Mg", "Mg", "Mg"],
  "frac_coords": [[0.500, 0.500, 0.500], [0.000, 0.000, 0.000], [0.000, 0.500, 0.000], [0.000, 0.000, 0.500], [0.500, 0.000, 0.000]]
}

---

Last place for stability: one

---

one | {
  "formula": "MgSeS2",
  "functional": "PBE",
  "state": "relaxed",
  "lattice_angstrom": [[5.193, 0.000, 0.000], [0.000, 5.193, 0.000], [2.597, 2.597, 7.121]],
  "species": ["S", "S", "S", "S", "Mg", "Mg", "Se", "Se"],
  "frac_coords": [[0.630, 0.125, 0.250], [0.120, 0.625, 0.250], [0.375, 0.370, 0.750], [0.875, 0.880, 0.750], [0.500, 0.500, 0.000], [0.250, 0.750, 0.500], [0.000, 0.000, 0.000], [0.750, 0.250, 0.500]]
}

---

two | {
  "formula": "MgSeS2",
  "functional": "PBE",
  "state": "relaxed",
  "lattice_angstrom": [[2.132, 0.000, 7.574], [-1.066, 1.846, 7.574], [-1.066, -1.846, 7.574]],
  "species": ["S", "S", "Mg", "Se"],
  "frac_coords": [[0.897, 0.897, 0.897], [0.103, 0.103, 0.103], [0.500, 0.500, 0.500], [0.000, 0.000, 0.000]]
}

---

three | {
  "formula": "MgSeS2",
  "functional": "PBE",
  "state": "relaxed",
  "lattice_angstrom": [[4.053, 0.593, -0.720], [0.727, 3.921, -1.679], [-1.834, -1.159, 15.428]],
  "species": ["Mg", "Mg", "Se", "Se", "S", "S", "S", "S"],
  "frac_coords": [[0.715, 0.798, 0.580], [0.285, 0.202, 0.420], [0.380, 0.486, 0.617], [0.620, 0.514, 0.383], [0.741, 0.391, 0.892], [0.259, 0.609, 0.108], [0.221, 0.149, 0.915], [0.779, 0.851, 0.085]]
}

---

four | {
  "formula": "MgSeS2",
  "functional": "PBE",
  "state": "relaxed",
  "lattice_angstrom": [[2.160, 0.000, 7.934], [-1.080, 1.871, 7.934], [-1.080, -1.871, 7.934]],
  "species": ["S", "S", "Mg", "Se"],
  "frac_coords": [[0.895, 0.895, 0.895], [0.105, 0.105, 0.105], [0.000, 0.000, 0.000], [0.500, 0.500, 0.500]]
}

---

Last place for stability: four

---

one | {
  "formula": "MgSe2S2",
  "functional": "PBE",
  "state": "relaxed",
  "lattice_angstrom": [[3.650, 0.000, 0.000], [0.000, 3.650, 0.000], [1.825, 1.825, 9.596]],
  "species": ["S", "S", "Mg", "Se", "Se"],
  "frac_coords": [[0.443, 0.443, 0.114], [0.557, 0.557, 0.886], [0.000, 0.000, 0.000], [0.750, 0.250, 0.500], [0.250, 0.750, 0.500]]
}

---

two | {
  "formula": "MgSe2S2",
  "functional": "PBE",
  "state": "relaxed",
  "lattice_angstrom": [[7.242, 0.000, 0.000], [0.000, 7.242, 0.000], [0.000, 0.000, 4.307]],
  "species": ["S", "S", "S", "S", "Mg", "Mg", "Se", "Se", "Se", "Se"],
  "frac_coords": [[0.293, 0.793, 0.000], [0.793, 0.707, 0.000], [0.707, 0.207, 0.000], [0.207, 0.293, 0.000], [0.000, 0.000, 0.000], [0.500, 0.500, 0.000], [0.187, 0.687, 0.500], [0.687, 0.813, 0.500], [0.813, 0.313, 0.500], [0.313, 0.187, 0.500]]
}

---

Last place for stability: two

---

one | {
  "formula": "Mg3SeS",
  "functional": "PBE",
  "state": "relaxed",
  "lattice_angstrom": [[-2.928, 1.502, 3.904], [2.735, -2.918, 3.174], [3.164, 3.912, 0.869]],
  "species": ["S", "Mg", "Mg", "Mg", "Se"],
  "frac_coords": [[0.500, 0.500, 0.500], [0.000, 0.500, 0.000], [0.000, 0.000, 0.500], [0.500, 0.000, 0.000], [0.000, 0.000, 0.000]]
}

---

two | {
  "formula": "Mg3SeS",
  "functional": "PBE",
  "state": "relaxed",
  "lattice_angstrom": [[-1.928, -1.672, -4.197], [0.225, -4.593, 1.727], [-4.512, 0.485, 1.880]],
  "species": ["S", "Mg", "Mg", "Mg", "Se"],
  "frac_coords": [[0.000, 0.000, 0.000], [0.000, 0.500, 0.000], [0.000, 0.000, 0.500], [0.500, 0.000, 0.000], [0.500, 0.500, 0.500]]
}

---

Last place for stability: one

---

one | {
  "formula": "MgSe2S",
  "functional": "PBE",
  "state": "relaxed",
  "lattice_angstrom": [[-1.161, 5.152, 1.187], [-1.787, 0.762, -5.053], [-8.086, 0.996, 0.110]],
  "species": ["S", "S", "Mg", "Mg", "Se", "Se", "Se", "Se"],
  "frac_coords": [[0.000, 0.000, 0.000], [0.750, 0.250, 0.500], [0.500, 0.500, 0.000], [0.250, 0.750, 0.500], [0.656, 0.125, 0.250], [0.094, 0.625, 0.250], [0.375, 0.344, 0.750], [0.875, 0.906, 0.750]]
}

---

two | {
  "formula": "MgSe2S",
  "functional": "PBE",
  "state": "relaxed",
  "lattice_angstrom": [[2.307, 0.000, 7.524], [-1.153, 1.998, 7.524], [-1.153, -1.998, 7.524]],
  "species": ["S", "Mg", "Se", "Se"],
  "frac_coords": [[0.000, 0.000, 0.000], [0.500, 0.500, 0.500], [0.896, 0.896, 0.896], [0.104, 0.104, 0.104]]
}

---

Last place for stability: one